(1)
Computed, not measured: PAuSe2 after structural relaxation at the PBE level of DFT.

The structure in POSCAR format:
```
PAuSe2
1.0
1.6064 -2.4388 0.0000
1.6064 2.4388 0.0000
0.0000 0.0000 9.9566
P Au Se
1 1 2
direct
0.0000 0.0000 0.0000
0.0000 0.0000 0.5000
0.5000 0.5000 0.2048
0.5000 0.5000 0.7952
```

Calculated values
- DOS(E_F): 1.663 states/eV/f.u.
- SG: Cmmm, No. 65
- M_tot: 0.0 μB/f.u.
- E_form (uncorrected): 0.539 eV per atom
- Calculated density: 8.213 g/cm3

=====

(2)
Computed, not measured: P2AuSe after structural relaxation at the PBE level of DFT.

The structure in POSCAR format:
```
P2AuSe
1.0
2.6827 0.0000 0.0000
0.0000 2.6827 0.0000
0.0000 0.0000 10.9984
P Au Se
2 1 1
direct
0.0000 0.0000 0.1976
0.0000 0.0000 0.8024
0.5000 0.5000 0.0000
0.5000 0.5000 0.5000
```

Calculated values
- DOS(E_F): 2.297 states/eV/f.u.
- SG: P4/mmm, No. 123
- M_tot: 0.0 μB/f.u.
- E_form (uncorrected): 0.567 eV per atom
- Calculated density: 7.088 g/cm3

=====

(3)
Computed, not measured: SiP2AuSe after structural relaxation at the PBE level of DFT.

The structure in POSCAR format:
```
SiP2AuSe
1.0
4.5534 0.0000 0.0000
0.0000 4.5534 0.0000
0.0000 0.0000 4.8311
Si P Au Se
1 2 1 1
direct
0.0000 0.0000 0.0000
0.0000 0.5000 0.0000
0.5000 0.0000 0.0000
0.0000 0.0000 0.5000
0.5000 0.5000 0.5000
```

Calculated values
- DOS(E_F): 3.441 states/eV/f.u.
- SG: P4/mmm, No. 123
- M_tot: 0.0 μB/f.u.
- E_form (uncorrected): 0.757 eV per atom
- Calculated density: 6.067 g/cm3

=====

(4)
Computed, not measured: Sm4PAuSe2 after structural relaxation at the PBE level of DFT.

The structure in POSCAR format:
```
Sm4PAuSe2
1.0
7.2607 0.0000 0.0000
0.0000 4.1278 0.0000
-2.3405 0.0000 6.9240
Sm P Au Se
4 1 1 2
direct
0.2390 0.0000 0.2353
0.2473 0.5000 0.7588
0.7527 0.5000 0.2412
0.7610 0.0000 0.7647
0.0000 0.5000 0.0000
0.0000 0.0000 0.5000
0.5000 0.0000 0.0000
0.5000 0.5000 0.5000
```

Calculated values
- DOS(E_F): 3.858 states/eV/f.u.
- SG: P2/m, No. 10
- M_tot: 0.0 μB/f.u.
- E_form (uncorrected): -1.501 eV per atom
- Calculated density: 7.900 g/cm3